The following is a PBE calculation of a relaxed structure of La5ThTe8, from Alexandria via LeMat-Bulk.

E: -78.362 eV per cell
space-group type: No. 82
uncorrected formation energy: -1.5123 eV per atom

Cell: 8.3477 8.3477 8.3477 Å, 109.39 109.39 109.63°
Positions (direct):
La1 0.0000 0.0000 0.0000
La2 0.2459 0.6242 0.1236
La3 0.3758 0.4994 0.6217
La4 0.5006 0.1222 0.8764
La5 0.8778 0.7541 0.3783
Th1 0.7500 0.2500 0.5000
Te1 0.1207 0.7163 0.7474
Te2 0.1226 0.2244 0.7487
Te3 0.2837 0.0311 0.4044
Te4 0.4757 0.3739 0.2513
Te5 0.6261 0.8774 0.1018
Te6 0.6267 0.8793 0.5956
Te7 0.7756 0.5243 0.8982
Te8 0.9689 0.3733 0.2526

---

The following is a PBE calculation of a relaxed structure of LaTh2Te5, from Alexandria via LeMat-Bulk.

E: -91.821 eV per cell
space-group type: No. 140
uncorrected formation energy: -1.3044 eV per atom

Cell: 9.3990 9.3990 9.3990 Å, 126.99 126.99 78.27°
Positions (direct):
La1 0.2500 0.2500 0.0000
La2 0.7500 0.7500 0.0000
Th1 0.1479 0.6479 0.7958
Th2 0.3521 0.1479 0.5000
Th3 0.6479 0.8521 0.5000
Th4 0.8521 0.3521 0.2042
Te1 0.0000 0.0000 0.0000
Te2 0.0096 0.1955 0.5000
Te3 0.1955 0.6955 0.1859
Te4 0.3045 0.4904 0.5000
Te5 0.4904 0.9904 0.1859
Te6 0.5000 0.5000 0.0000
Te7 0.5096 0.0096 0.8141
Te8 0.6955 0.5096 0.5000
Te9 0.8045 0.3045 0.8141
Te10 0.9904 0.8045 0.5000

---

The following is a PBE calculation of a relaxed structure of La3ThTe4, from Alexandria via LeMat-Bulk.

E: -46.317 eV per cell
space-group type: No. 65
uncorrected formation energy: -1.4436 eV per atom

Cell: 7.8892 7.8892 4.5393 Å, 90.00 90.00 109.41°
Positions (direct):
La1 0.0000 0.0000 0.0000
La2 0.0000 0.5000 0.5000
La3 0.5000 0.0000 0.5000
Th1 0.5000 0.5000 0.0000
Te1 0.2520 0.7480 0.0000
Te2 0.2534 0.2534 0.5000
Te3 0.7466 0.7466 0.5000
Te4 0.7480 0.2520 0.0000

---

The following is a PBE calculation of a relaxed structure of La3ThTe6, from Alexandria via LeMat-Bulk.

E: -109.570 eV per cell
space-group type: No. 36
uncorrected formation energy: -1.3733 eV per atom

Cell: 9.8924 9.8924 7.8410 Å, 90.00 90.00 101.31°
Positions (direct):
La1 0.0949 0.9051 0.5000
La2 0.2160 0.4144 0.3875
La3 0.4144 0.2160 0.8875
La4 0.5856 0.7840 0.3875
La5 0.7840 0.5856 0.8875
La6 0.9051 0.0949 0.0000
Th1 0.3369 0.6631 0.8757
Th2 0.6631 0.3369 0.3757
Te1 0.0693 0.5944 0.6740
Te2 0.1267 0.1992 0.6963
Te3 0.1992 0.1267 0.1963
Te4 0.2669 0.7331 0.2400
Te5 0.4056 0.9307 0.6740
Te6 0.4949 0.5051 0.6237
Te7 0.5051 0.4949 0.1237
Te8 0.5944 0.0693 0.1740
Te9 0.7331 0.2669 0.7400
Te10 0.8008 0.8733 0.6963
Te11 0.8733 0.8008 0.1963
Te12 0.9307 0.4056 0.1740

---

The following is a PBE calculation of a relaxed structure of La2ThTe4, from Alexandria via LeMat-Bulk.

E: -78.688 eV per cell
space-group type: No. 63
uncorrected formation energy: -1.3575 eV per atom

Cell: 7.8811 7.8811 15.2342 Å, 90.00 90.00 147.61°
Positions (direct):
La1 0.1346 0.8654 0.5712
La2 0.1346 0.8654 0.9288
La3 0.8654 0.1346 0.0712
La4 0.8654 0.1346 0.4288
Th1 0.3695 0.6305 0.7500
Th2 0.6305 0.3695 0.2500
Te1 0.0213 0.9787 0.7500
Te2 0.2197 0.7803 0.1264
Te3 0.2197 0.7803 0.3736
Te4 0.5000 0.5000 0.0000
Te5 0.5000 0.5000 0.5000
Te6 0.7803 0.2197 0.6264
Te7 0.7803 0.2197 0.8736
Te8 0.9787 0.0213 0.2500

---

The following is a PBE calculation of a relaxed structure of LaTh3Te6, from Alexandria via LeMat-Bulk.

E: -116.804 eV per cell
space-group type: No. 11
uncorrected formation energy: -1.2365 eV per atom

Cell: 11.7422 4.2685 13.7912 Å, 90.00 104.76 90.00°
Positions (direct):
La1 0.0408 0.2500 0.1996
La2 0.9592 0.7500 0.8004
Th1 0.1269 0.2500 0.5739
Th2 0.3192 0.7500 0.9791
Th3 0.3750 0.2500 0.3622
Th4 0.6250 0.7500 0.6378
Th5 0.6808 0.2500 0.0209
Th6 0.8731 0.7500 0.4261
Te1 0.1154 0.2500 0.9610
Te2 0.1479 0.7500 0.4039
Te3 0.2050 0.7500 0.7439
Te4 0.2499 0.7500 0.1917
Te5 0.4164 0.2500 0.5982
Te6 0.4737 0.2500 0.1264
Te7 0.5263 0.7500 0.8736
Te8 0.5836 0.7500 0.4018
Te9 0.7501 0.2500 0.8083
Te10 0.7950 0.2500 0.2561
Te11 0.8521 0.2500 0.5961
Te12 0.8846 0.7500 0.0390

---

The following is a PBE calculation of a relaxed structure of La2ThTe4, from Alexandria via LeMat-Bulk.

E: -39.836 eV per cell
space-group type: No. 65
uncorrected formation energy: -1.4278 eV per atom

Cell: 7.8762 7.8762 4.4982 Å, 90.00 90.00 108.49°
Positions (direct):
La1 0.0000 0.5000 0.0000
La2 0.5000 0.0000 0.0000
Th1 0.0000 0.0000 0.5000
Te1 0.2460 0.2460 0.0000
Te2 0.2533 0.7467 0.5000
Te3 0.7467 0.2533 0.5000
Te4 0.7540 0.7540 0.0000

---

The following is a PBE calculation of a relaxed structure of La4Th3Te8, from Alexandria via LeMat-Bulk.

E: -87.640 eV per cell
space-group type: No. 12
uncorrected formation energy: -1.3691 eV per atom

Cell: 9.0040 9.0040 8.9814 Å, 119.87 119.87 90.05°
Positions (direct):
La1 0.0000 0.0000 0.0000
La2 0.0000 0.5000 0.0000
La3 0.5000 0.0000 0.0000
La4 0.5000 0.5000 0.5000
Th1 0.0000 0.5000 0.5000
Th2 0.5000 0.0000 0.5000
Th3 0.5000 0.5000 0.0000
Te1 0.2413 0.2413 0.5037
Te2 0.2407 0.7593 0.5000
Te3 0.2440 0.2440 0.9834
Te4 0.2512 0.7488 0.0000
Te5 0.7488 0.2512 0.0000
Te6 0.7560 0.7560 0.0166
Te7 0.7593 0.2407 0.5000
Te8 0.7587 0.7587 0.4963

---

The following is a PBE calculation of a relaxed structure of LaTh4Te8, from Alexandria via LeMat-Bulk.

E: -74.220 eV per cell
space-group type: No. 216
uncorrected formation energy: -1.1139 eV per atom

Cell: 9.0214 9.0214 9.0214 Å, 60.00 60.00 60.00°
Positions (direct):
La1 0.0000 0.0000 0.0000
Th1 0.1716 0.6095 0.6095
Th2 0.6095 0.1716 0.6095
Th3 0.6095 0.6095 0.1716
Th4 0.6095 0.6095 0.6095
Te1 0.3657 0.3657 0.3657
Te2 0.3657 0.3657 0.9029
Te3 0.3657 0.9029 0.3657
Te4 0.4142 0.8620 0.8620
Te5 0.8620 0.4142 0.8620
Te6 0.8620 0.8620 0.4142
Te7 0.8620 0.8620 0.8620
Te8 0.9029 0.3657 0.3657

---

The following is a PBE calculation of a relaxed structure of La2ThTe5, from Alexandria via LeMat-Bulk.

E: -88.356 eV per cell
space-group type: No. 55
uncorrected formation energy: -1.3994 eV per atom

Cell: 8.8540 13.7617 4.5649 Å, 90.00 90.00 90.00°
Positions (direct):
La1 0.0314 0.1748 0.0000
La2 0.4686 0.6748 0.0000
La3 0.5314 0.3252 0.0000
La4 0.9686 0.8252 0.0000
Th1 0.0000 0.5000 0.5000
Th2 0.5000 0.0000 0.5000
Te1 0.0000 0.0000 0.5000
Te2 0.1745 0.3976 0.0000
Te3 0.1776 0.6994 0.5000
Te4 0.3224 0.1994 0.5000
Te5 0.3255 0.8976 0.0000
Te6 0.5000 0.5000 0.5000
Te7 0.6745 0.1024 0.0000
Te8 0.6776 0.8006 0.5000
Te9 0.8224 0.3006 0.5000
Te10 0.8255 0.6024 0.0000

---

The following is a PBE calculation of a relaxed structure of La3ThTe4, from Alexandria via LeMat-Bulk.

E: -92.606 eV per cell
space-group type: No. 13
uncorrected formation energy: -1.4417 eV per atom

Cell: 7.9068 9.0800 7.8650 Å, 90.00 109.33 90.00°
Positions (direct):
La1 0.0000 0.1236 0.2500
La2 0.0000 0.3741 0.7500
La3 0.0000 0.6259 0.2500
La4 0.0000 0.8764 0.7500
La5 0.5000 0.3724 0.2500
La6 0.5000 0.6276 0.7500
Th1 0.5000 0.1211 0.7500
Th2 0.5000 0.8789 0.2500
Te1 0.2522 0.1240 0.9990
Te2 0.2522 0.8760 0.4990
Te3 0.2529 0.3727 0.5029
Te4 0.2529 0.6273 0.0029
Te5 0.7471 0.3727 0.9971
Te6 0.7471 0.6273 0.4971
Te7 0.7478 0.1240 0.5010
Te8 0.7478 0.8760 0.0010

---

The following is a PBE calculation of a relaxed structure of LaTh2Te5, from Alexandria via LeMat-Bulk.

E: -90.468 eV per cell
space-group type: No. 55
uncorrected formation energy: -1.2198 eV per atom

Cell: 8.6024 14.3453 4.3635 Å, 90.00 90.00 90.00°
Positions (direct):
La1 0.0000 0.0000 0.0000
La2 0.5000 0.5000 0.0000
Th1 0.0214 0.3229 0.5000
Th2 0.4786 0.8229 0.5000
Th3 0.5214 0.1771 0.5000
Th4 0.9786 0.6771 0.5000
Te1 0.0000 0.5000 0.0000
Te2 0.1686 0.1189 0.5000
Te3 0.1860 0.8040 0.0000
Te4 0.3140 0.3040 0.0000
Te5 0.3314 0.6189 0.5000
Te6 0.5000 0.0000 0.0000
Te7 0.6686 0.3811 0.5000
Te8 0.6860 0.6960 0.0000
Te9 0.8140 0.1960 0.0000
Te10 0.8314 0.8811 0.5000

---

The following is a PBE calculation of a relaxed structure of LaThTe, from Alexandria via LeMat-Bulk.

E: -35.899 eV per cell
space-group type: No. 129
uncorrected formation energy: -0.8202 eV per atom

Cell: 4.5659 4.5659 9.1973 Å, 90.00 90.00 90.00°
Positions (direct):
La1 0.2500 0.2500 0.1420
La2 0.7500 0.7500 0.8580
Th1 0.2500 0.7500 0.5000
Th2 0.7500 0.2500 0.5000
Te1 0.2500 0.2500 0.7805
Te2 0.7500 0.7500 0.2195

---

The following is a PBE calculation of a relaxed structure of La3Tm2ThTe6, from Alexandria via LeMat-Bulk.

E: -66.306 eV per cell
space-group type: No. 12
uncorrected formation energy: -1.3592 eV per atom

Cell: 9.9367 9.9367 9.0482 Å, 101.40 101.40 25.67°
Positions (direct):
La1 0.0000 0.0000 0.0000
La2 0.3411 0.3411 0.6636
La3 0.6589 0.6589 0.3364
Tm1 0.3340 0.3340 0.1653
Tm2 0.6660 0.6660 0.8347
Th1 0.0000 0.0000 0.5000
Te1 0.1697 0.1697 0.6033
Te2 0.1721 0.1721 0.0752
Te3 0.4914 0.4914 0.2472
Te4 0.5086 0.5086 0.7528
Te5 0.8279 0.8279 0.9248
Te6 0.8303 0.8303 0.3967

---

The following is a PBE calculation of a relaxed structure of La3Y2ThTe6, from Alexandria via LeMat-Bulk.

E: -70.816 eV per cell
space-group type: No. 12
uncorrected formation energy: -1.4030 eV per atom

Cell: 10.0051 10.0051 9.0238 Å, 102.08 102.08 25.82°
Positions (direct):
La1 0.0000 0.0000 0.0000
La2 0.3380 0.3380 0.6655
La3 0.6620 0.6620 0.3345
Y1 0.3347 0.3347 0.1679
Y2 0.6653 0.6653 0.8321
Th1 0.0000 0.0000 0.5000
Te1 0.1681 0.1681 0.5965
Te2 0.1712 0.1712 0.0760
Te3 0.4946 0.4946 0.2491
Te4 0.5054 0.5054 0.7509
Te5 0.8288 0.8288 0.9240
Te6 0.8319 0.8319 0.4035

---

The following is a PBE calculation of a relaxed structure of LaTiTe2, from Alexandria via LeMat-Bulk.

E: -20.826 eV per cell
space-group type: No. 166
uncorrected formation energy: -0.4300 eV per atom

Cell: 9.5329 9.5329 9.5329 Å, 27.59 27.59 27.59°
Positions (direct):
La1 0.0000 0.0000 0.0000
Ti1 0.5000 0.5000 0.5000
Te1 0.4006 0.4006 0.4006
Te2 0.5994 0.5994 0.5994

---

The following is a PBE calculation of a relaxed structure of LaTi2Te2, from Alexandria via LeMat-Bulk.

E: -58.779 eV per cell
space-group type: No. 127
uncorrected formation energy: -0.4778 eV per atom

Cell: 8.2103 8.2103 3.5133 Å, 90.00 90.00 90.00°
Positions (direct):
La1 0.0000 0.0000 0.0000
La2 0.5000 0.5000 0.0000
Ti1 0.1308 0.3692 0.5000
Ti2 0.3692 0.8692 0.5000
Ti3 0.6308 0.1308 0.5000
Ti4 0.8692 0.6308 0.5000
Te1 0.1465 0.6465 0.0000
Te2 0.3535 0.1465 0.0000
Te3 0.6465 0.8535 0.0000
Te4 0.8535 0.3535 0.0000

---

The following is a PBE calculation of a relaxed structure of LaTi2Te2, from Alexandria via LeMat-Bulk.

E: -31.118 eV per cell
space-group type: No. 139
uncorrected formation energy: -0.8235 eV per atom

Cell: 8.0480 8.0480 8.0480 Å, 151.18 151.18 41.21°
Positions (direct):
La1 0.0000 0.0000 0.0000
Ti1 0.2500 0.7500 0.5000
Ti2 0.7500 0.2500 0.5000
Te1 0.3816 0.3816 0.0000
Te2 0.6184 0.6184 0.0000

---

The following is a PBE calculation of a relaxed structure of LaTi3Te, from Alexandria via LeMat-Bulk.

E: -29.643 eV per cell
space-group type: No. 221
uncorrected formation energy: 0.4222 eV per atom

Cell: 5.1052 5.1052 5.1052 Å, 90.00 90.00 90.00°
Positions (direct):
La1 0.0000 0.0000 0.0000
Ti1 0.0000 0.5000 0.5000
Ti2 0.5000 0.0000 0.5000
Ti3 0.5000 0.5000 0.0000
Te1 0.5000 0.5000 0.5000

---

The following is a PBE calculation of a relaxed structure of LaTi2Te2, from Alexandria via LeMat-Bulk.

E: -30.095 eV per cell
space-group type: No. 139
uncorrected formation energy: -0.6189 eV per atom

Cell: 5.7207 5.7207 5.7207 Å, 124.84 124.84 81.81°
Positions (direct):
La1 0.0000 0.0000 0.0000
Ti1 0.3793 0.3793 0.0000
Ti2 0.6207 0.6207 0.0000
Te1 0.2500 0.7500 0.5000
Te2 0.7500 0.2500 0.5000